(1)
DFT (GGA-PBE) results for a relaxed structure of CeDy2Er5Tm.

**Spin magnetization**: 0.5 μB per formula unit
**V**: 31.6 Å³ per atom
**ΔE_f**: 0.17 eV per atom

Cell lengths 11.030, 11.030, 9.461 Å; angles 90.00, 90.00, 150.39 degrees
Positions (direct):
Ce (0.191, 0.809, 0.500)
Ce (0.809, 0.191, 0.000)
Dy (0.114, 0.886, 0.802)
Dy (0.133, 0.867, 0.188)
Dy (0.867, 0.133, 0.688)
Dy (0.886, 0.114, 0.302)
Er (0.014, 0.986, 0.493)
Er (0.267, 0.733, 0.813)
Er (0.307, 0.693, 0.195)
Er (0.395, 0.605, 0.526)
Er (0.471, 0.529, 0.227)
Er (0.529, 0.471, 0.727)
Er (0.605, 0.395, 0.026)
Er (0.693, 0.307, 0.695)
Er (0.733, 0.267, 0.313)
Er (0.986, 0.014, 0.993)
Tm (0.403, 0.597, 0.910)
Tm (0.597, 0.403, 0.410)

***

(2)
DFT (GGA-PBE) results for a relaxed structure of CeDy2Er3Tm6.

**Spin magnetization**: 1.0 μB per formula unit
**V**: 30.5 Å³ per atom
**ΔE_f**: 0.04 eV per atom

Cell lengths 7.865, 7.865, 9.892 Å; angles 90.00, 90.00, 143.34 degrees
Positions (direct):
Ce (0.000, 0.000, 0.000)
Dy (0.334, 0.666, 0.000)
Dy (0.666, 0.334, 0.000)
Er (0.000, 0.000, 0.500)
Er (0.332, 0.668, 0.500)
Er (0.668, 0.332, 0.500)
Tm (0.166, 0.834, 0.251)
Tm (0.166, 0.834, 0.749)
Tm (0.500, 0.500, 0.249)
Tm (0.500, 0.500, 0.751)
Tm (0.834, 0.166, 0.251)
Tm (0.834, 0.166, 0.749)

***

(3)
DFT (GGA-PBE) results for a relaxed structure of CeDy6Er2Tm.

**Spin magnetization**: 1.1 μB per formula unit
**V**: 31.7 Å³ per atom
**ΔE_f**: 0.16 eV per atom

Cell lengths 8.685, 8.685, 9.515 Å; angles 94.24, 94.24, 117.01 degrees
Positions (direct):
Ce (0.092, 0.908, 0.750)
Ce (0.908, 0.092, 0.250)
Dy (0.008, 0.797, 0.381)
Dy (0.071, 0.519, 0.185)
Dy (0.203, 0.992, 0.119)
Dy (0.253, 0.619, 0.557)
Dy (0.381, 0.747, 0.943)
Dy (0.481, 0.929, 0.315)
Dy (0.519, 0.071, 0.685)
Dy (0.619, 0.253, 0.057)
Dy (0.747, 0.381, 0.443)
Dy (0.797, 0.008, 0.881)
Dy (0.929, 0.481, 0.815)
Dy (0.992, 0.203, 0.619)
Er (0.208, 0.308, 0.953)
Er (0.308, 0.208, 0.453)
Er (0.692, 0.792, 0.547)
Er (0.792, 0.692, 0.047)
Tm (0.473, 0.527, 0.250)
Tm (0.527, 0.473, 0.750)

***

(4)
DFT (GGA-PBE) results for a relaxed structure of CeDy5ErTm2.

**Spin magnetization**: 0.6 μB per formula unit
**V**: 31.9 Å³ per atom
**ΔE_f**: 0.17 eV per atom

Cell lengths 11.046, 11.046, 9.506 Å; angles 90.00, 90.00, 150.35 degrees
Positions (direct):
Ce (0.191, 0.809, 0.500)
Ce (0.809, 0.191, 0.000)
Dy (0.014, 0.986, 0.491)
Dy (0.268, 0.732, 0.809)
Dy (0.305, 0.695, 0.191)
Dy (0.394, 0.606, 0.524)
Dy (0.471, 0.529, 0.227)
Dy (0.529, 0.471, 0.727)
Dy (0.606, 0.394, 0.024)
Dy (0.695, 0.305, 0.691)
Dy (0.732, 0.268, 0.309)
Dy (0.986, 0.014, 0.991)
Er (0.403, 0.597, 0.907)
Er (0.597, 0.403, 0.407)
Tm (0.114, 0.886, 0.802)
Tm (0.132, 0.868, 0.188)
Tm (0.868, 0.132, 0.688)
Tm (0.886, 0.114, 0.302)

***

(5)
DFT (GGA-PBE) results for a relaxed structure of CeDyEr2Tm5.

**Spin magnetization**: 0.6 μB per formula unit
**V**: 31.2 Å³ per atom
**ΔE_f**: 0.18 eV per atom

Cell lengths 10.958, 10.958, 9.459 Å; angles 90.00, 90.00, 150.32 degrees
Positions (direct):
Ce (0.193, 0.807, 0.500)
Ce (0.807, 0.193, 0.000)
Dy (0.403, 0.597, 0.095)
Dy (0.597, 0.403, 0.595)
Er (0.113, 0.887, 0.199)
Er (0.134, 0.866, 0.815)
Er (0.866, 0.134, 0.315)
Er (0.887, 0.113, 0.699)
Tm (0.014, 0.986, 0.507)
Tm (0.266, 0.734, 0.187)
Tm (0.307, 0.693, 0.806)
Tm (0.394, 0.606, 0.479)
Tm (0.471, 0.529, 0.776)
Tm (0.529, 0.471, 0.276)
Tm (0.606, 0.394, 0.979)
Tm (0.693, 0.307, 0.306)
Tm (0.734, 0.266, 0.687)
Tm (0.986, 0.014, 0.007)

***

(6)
DFT (GGA-PBE) results for a relaxed structure of Ce2Dy3Er6Tm.

**Spin magnetization**: 1.7 μB per formula unit
**V**: 30.6 Å³ per atom
**ΔE_f**: 0.04 eV per atom

Cell lengths 6.084, 6.084, 11.631 Å; angles 95.00, 95.00, 119.99 degrees
Positions (direct):
Ce (0.166, 0.834, 0.000)
Ce (0.834, 0.166, 0.000)
Dy (0.000, 0.000, 0.500)
Dy (0.334, 0.666, 0.500)
Dy (0.666, 0.334, 0.500)
Er (0.082, 0.417, 0.751)
Er (0.248, 0.248, 0.249)
Er (0.417, 0.082, 0.751)
Er (0.583, 0.918, 0.249)
Er (0.752, 0.752, 0.751)
Er (0.918, 0.583, 0.249)
Tm (0.500, 0.500, 0.000)

***

(7)
DFT (GGA-PBE) results for a relaxed structure of CeDy6Er3Tm2.

**Spin magnetization**: 1.2 μB per formula unit
**V**: 30.9 Å³ per atom
**ΔE_f**: 0.04 eV per atom

Cell lengths 6.102, 6.102, 11.686 Å; angles 94.99, 94.99, 119.97 degrees
Positions (direct):
Ce (0.000, 0.000, 0.000)
Dy (0.084, 0.415, 0.250)
Dy (0.248, 0.248, 0.750)
Dy (0.415, 0.084, 0.250)
Dy (0.585, 0.916, 0.750)
Dy (0.752, 0.752, 0.250)
Dy (0.916, 0.585, 0.750)
Er (0.167, 0.833, 0.500)
Er (0.500, 0.500, 0.500)
Er (0.833, 0.167, 0.500)
Tm (0.333, 0.667, 0.000)
Tm (0.667, 0.333, 0.000)

***

(8)
DFT (GGA-PBE) results for a relaxed structure of CeDyEr4Tm2.

**Spin magnetization**: 0.9 μB per formula unit
**V**: 30.5 Å³ per atom
**ΔE_f**: 0.05 eV per atom

Cell lengths 4.963, 4.963, 9.910 Å; angles 90.00, 90.00, 90.00 degrees
Positions (direct):
Ce (0.000, 0.000, 0.000)
Dy (0.500, 0.500, 0.500)
Er (0.000, 0.500, 0.249)
Er (0.000, 0.500, 0.751)
Er (0.500, 0.000, 0.249)
Er (0.500, 0.000, 0.751)
Tm (0.000, 0.000, 0.500)
Tm (0.500, 0.500, 0.000)

***

(9)
DFT (GGA-PBE) results for a relaxed structure of CeDyEr5Tm2.

**Spin magnetization**: 0.6 μB per formula unit
**V**: 31.4 Å³ per atom
**ΔE_f**: 0.18 eV per atom

Cell lengths 10.982, 10.982, 9.471 Å; angles 90.00, 90.00, 150.31 degrees
Positions (direct):
Ce (0.192, 0.808, 0.500)
Ce (0.808, 0.192, 0.000)
Dy (0.403, 0.597, 0.095)
Dy (0.597, 0.403, 0.595)
Er (0.014, 0.986, 0.508)
Er (0.267, 0.733, 0.189)
Er (0.306, 0.694, 0.808)
Er (0.394, 0.606, 0.479)
Er (0.471, 0.529, 0.775)
Er (0.529, 0.471, 0.275)
Er (0.606, 0.394, 0.979)
Er (0.694, 0.306, 0.308)
Er (0.733, 0.267, 0.689)
Er (0.986, 0.014, 0.008)
Tm (0.113, 0.887, 0.199)
Tm (0.134, 0.866, 0.814)
Tm (0.866, 0.134, 0.314)
Tm (0.887, 0.113, 0.699)

***

(10)
DFT (GGA-PBE) results for a relaxed structure of CeDy6Y3Er2.

**Spin magnetization**: 1.2 μB per formula unit
**V**: 31.5 Å³ per atom
**ΔE_f**: 0.04 eV per atom

Cell lengths 6.138, 6.138, 11.759 Å; angles 94.99, 94.99, 119.98 degrees
Positions (direct):
Ce (0.000, 0.000, 0.000)
Dy (0.083, 0.414, 0.248)
Dy (0.248, 0.248, 0.751)
Dy (0.414, 0.083, 0.248)
Dy (0.586, 0.917, 0.752)
Dy (0.752, 0.752, 0.249)
Dy (0.917, 0.586, 0.752)
Y (0.167, 0.833, 0.500)
Y (0.500, 0.500, 0.500)
Y (0.833, 0.167, 0.500)
Er (0.333, 0.667, 0.000)
Er (0.667, 0.333, 0.000)

***

(11)
DFT (GGA-PBE) results for a relaxed structure of Ce2Dy6Y3Er.

**Spin magnetization**: 1.8 μB per formula unit
**V**: 31.4 Å³ per atom
**ΔE_f**: 0.05 eV per atom

Cell lengths 6.135, 6.135, 11.749 Å; angles 94.99, 94.99, 119.99 degrees
Positions (direct):
Ce (0.167, 0.833, 0.000)
Ce (0.833, 0.167, 0.000)
Dy (0.082, 0.417, 0.752)
Dy (0.248, 0.248, 0.248)
Dy (0.417, 0.082, 0.752)
Dy (0.583, 0.918, 0.248)
Dy (0.752, 0.752, 0.752)
Dy (0.918, 0.583, 0.248)
Y (0.000, 0.000, 0.500)
Y (0.334, 0.666, 0.500)
Y (0.666, 0.334, 0.500)
Er (0.500, 0.500, 0.000)

***

(12)
DFT (GGA-PBE) results for a relaxed structure of CeDyYEr2.

**Spin magnetization**: 1.4 μB per formula unit
**V**: 33.4 Å³ per atom
**ΔE_f**: 0.34 eV per atom

Cell lengths 3.565, 5.452, 8.582 Å; angles 90.00, 90.00, 90.00 degrees
Positions (direct):
Ce (0.000, 0.000, 0.000)
Dy (0.500, 0.000, 0.500)
Y (0.500, 0.500, 0.000)
Er (0.000, 0.500, 0.320)
Er (0.000, 0.500, 0.680)

***

(13)
DFT (GGA-PBE) results for a relaxed structure of CeDyY6Er2.

**Spin magnetization**: 1.1 μB per formula unit
**V**: 32.1 Å³ per atom
**ΔE_f**: 0.08 eV per atom

Cell lengths 11.939, 11.939, 15.261 Å; angles 90.99, 90.99, 162.72 degrees
Positions (direct):
Ce (0.230, 0.770, 0.750)
Ce (0.770, 0.230, 0.250)
Dy (0.399, 0.601, 0.250)
Dy (0.601, 0.399, 0.750)
Y (0.050, 0.730, 0.359)
Y (0.270, 0.950, 0.141)
Y (0.291, 0.683, 0.058)
Y (0.317, 0.709, 0.442)
Y (0.326, 0.389, 0.850)
Y (0.389, 0.326, 0.350)
Y (0.611, 0.674, 0.650)
Y (0.674, 0.611, 0.150)
Y (0.683, 0.291, 0.558)
Y (0.709, 0.317, 0.942)
Y (0.730, 0.050, 0.859)
Y (0.950, 0.270, 0.641)
Er (0.061, 0.917, 0.540)
Er (0.083, 0.939, 0.960)
Er (0.917, 0.061, 0.040)
Er (0.939, 0.083, 0.460)

***

(14)
DFT (GGA-PBE) results for a relaxed structure of CeDy3Y6Er2.

**Spin magnetization**: 1.1 μB per formula unit
**V**: 31.7 Å³ per atom
**ΔE_f**: 0.04 eV per atom

Cell lengths 6.155, 6.155, 11.780 Å; angles 94.99, 94.99, 119.97 degrees
Positions (direct):
Ce (0.000, 0.000, 0.000)
Dy (0.168, 0.832, 0.500)
Dy (0.500, 0.500, 0.500)
Dy (0.832, 0.168, 0.500)
Y (0.083, 0.415, 0.249)
Y (0.248, 0.248, 0.751)
Y (0.415, 0.083, 0.249)
Y (0.585, 0.917, 0.751)
Y (0.752, 0.752, 0.249)
Y (0.917, 0.585, 0.751)
Er (0.333, 0.667, 0.000)
Er (0.667, 0.333, 0.000)

***

(15)
DFT (GGA-PBE) results for a relaxed structure of CeDyYEr.

**Spin magnetization**: 1.0 μB per formula unit
**V**: 31.9 Å³ per atom
**Energy above the most stable polymorph in this dataset**: 0 meV per atom
**ΔE_f**: 0.16 eV per atom

Cell lengths 5.650, 5.650, 5.650 Å; angles 60.00, 60.00, 60.00 degrees
Positions (direct):
Ce (0.000, 0.000, 0.000)
Dy (0.500, 0.500, 0.500)
Y (0.750, 0.750, 0.750)
Er (0.250, 0.250, 0.250)

***

(16)
DFT (GGA-PBE) results for a relaxed structure of CeDy3Y2Er6.

**Spin magnetization**: 1.1 μB per formula unit
**V**: 31.1 Å³ per atom
**ΔE_f**: 0.04 eV per atom

Cell lengths 6.114, 6.114, 11.691 Å; angles 95.00, 95.00, 119.97 degrees
Positions (direct):
Ce (0.000, 0.000, 0.000)
Dy (0.168, 0.832, 0.500)
Dy (0.500, 0.500, 0.500)
Dy (0.832, 0.168, 0.500)
Y (0.333, 0.667, 0.000)
Y (0.667, 0.333, 0.000)
Er (0.084, 0.415, 0.251)
Er (0.247, 0.247, 0.749)
Er (0.415, 0.084, 0.251)
Er (0.585, 0.916, 0.749)
Er (0.753, 0.753, 0.251)
Er (0.916, 0.585, 0.749)

***

(17)
DFT (GGA-PBE) results for a relaxed structure of CeDy6Y2Er3.

**Spin magnetization**: 1.2 μB per formula unit
**V**: 31.3 Å³ per atom
**ΔE_f**: 0.04 eV per atom

Cell lengths 6.129, 6.129, 11.735 Å; angles 94.99, 94.99, 119.98 degrees
Positions (direct):
Ce (0.000, 0.000, 0.000)
Dy (0.084, 0.415, 0.252)
Dy (0.247, 0.247, 0.748)
Dy (0.415, 0.084, 0.252)
Dy (0.585, 0.916, 0.748)
Dy (0.753, 0.753, 0.252)
Dy (0.916, 0.585, 0.748)
Y (0.333, 0.667, 0.000)
Y (0.667, 0.333, 0.000)
Er (0.167, 0.833, 0.500)
Er (0.500, 0.500, 0.500)
Er (0.833, 0.167, 0.500)

***

(18)
DFT (GGA-PBE) results for a relaxed structure of Ce2DyY3Er6.

**Spin magnetization**: 1.7 μB per formula unit
**V**: 31.0 Å³ per atom
**ΔE_f**: 0.05 eV per atom

Cell lengths 6.109, 6.109, 11.681 Å; angles 95.00, 95.00, 119.99 degrees
Positions (direct):
Ce (0.167, 0.833, 0.000)
Ce (0.833, 0.167, 0.000)
Dy (0.500, 0.500, 0.000)
Y (0.000, 0.000, 0.500)
Y (0.334, 0.666, 0.500)
Y (0.666, 0.334, 0.500)
Er (0.081, 0.417, 0.752)
Er (0.248, 0.248, 0.248)
Er (0.417, 0.081, 0.752)
Er (0.583, 0.919, 0.248)
Er (0.752, 0.752, 0.752)
Er (0.919, 0.583, 0.248)

***

(19)
DFT (GGA-PBE) results for a relaxed structure of CeDyY2Er.

**Spin magnetization**: 0.0 μB per formula unit
**V**: 32.1 Å³ per atom
**ΔE_f**: 0.32 eV per atom

Cell lengths 8.084, 6.750, 5.875 Å; angles 90.00, 90.22, 90.00 degrees
Positions (direct):
Ce (0.000, 0.000, 0.000)
Ce (0.000, 0.000, 0.500)
Dy (0.000, 0.411, 0.250)
Dy (0.000, 0.589, 0.750)
Y (0.301, 0.309, 0.749)
Y (0.301, 0.691, 0.249)
Y (0.699, 0.309, 0.751)
Y (0.699, 0.691, 0.251)
Er (0.500, 0.164, 0.250)
Er (0.500, 0.836, 0.750)